A PBEsol-optimized structure of Cs2PdSeN. Source: Alexandria, functional SCAN.

Lattice parameters (Å, degrees): 4.6333 6.5207 6.5207 90.00 90.00 90.00
Atoms (fractional coordinates):
Cs (0.0000, 0.0000, 0.5000)
Pd (0.0000, 0.0000, 0.0000)
N (0.5000, 0.5000, 0.5000)
Se (0.5000, 0.0000, 0.0000)
Cs (0.0000, 0.5000, 0.0000)

Results
- Calculated volume: 39.40 Å³/atom
- Space group: P4/mmm (123)
- Energy: -2.0073 Ry/atom

A PBEsol-optimized structure of K2CdS. Source: Alexandria, functional SCAN.

Lattice parameters (Å, degrees): 5.4537 5.4537 5.4537 60.00 60.00 60.00
Atoms (fractional coordinates):
Cd (0.5000, 0.5000, 0.5000)
K (0.7500, 0.7500, 0.7500)
K (0.2500, 0.2500, 0.2500)
S (0.0000, 0.0000, 0.0000)

Results
- Calculated volume: 28.67 Å³/atom
- Space group: Fm-3m (225)
- Energy: -1.0923 Ry/atom